{"formula": "BaMgI2", "functional": "PBE", "state": "optimized geometry", "polymorph_energy_mev_per_atom": 0.0, "e_tot_ev_per_cell": -10.51, "formation_energy_uncorrected_ev_per_atom": -0.974, "cell": [[0.000, 4.291, 4.291], [4.291, 0.000, 4.291], [4.291, 4.291, 0.000]], "species": ["Ba", "Mg", "I", "I"], "fractional_positions": [[0.000, 0.000, 0.000], [0.500, 0.500, 0.500], [0.250, 0.250, 0.250], [0.750, 0.750, 0.750]]}